First-principles (PBE) data for an optimized crystal structure of Dy2GaCo5B2, as listed in Alexandria.

- total energy (eV per atom) = -6.51
- formation enthalpy at 0 K (eV per atom) = -0.39

a b c (Å): 9.021 9.021 3.046
angles (deg): 90.00 90.00 90.00
Fractional positions:
1 Dy 0.178 0.322 0.000
2 Dy 0.322 0.822 0.000
3 Dy 0.678 0.178 0.000
4 Dy 0.822 0.678 0.000
5 Ga 0.000 0.000 0.000
6 Ga 0.500 0.500 0.000
7 Co 0.000 0.500 0.500
8 Co 0.068 0.772 0.500
9 Co 0.228 0.068 0.500
10 Co 0.272 0.568 0.500
11 Co 0.432 0.272 0.500
12 Co 0.500 0.000 0.500
13 Co 0.568 0.728 0.500
14 Co 0.728 0.432 0.500
15 Co 0.772 0.932 0.500
16 Co 0.932 0.228 0.500
17 B 0.118 0.618 0.000
18 B 0.382 0.118 0.000
19 B 0.618 0.882 0.000
20 B 0.882 0.382 0.000

=====

First-principles (PBE) data for an optimized crystal structure of Sr2Cd5Ag2Pd, as listed in Alexandria.

- total energy (eV per atom) = -2.10
- formation enthalpy at 0 K (eV per atom) = -0.22

a b c (Å): 10.905 10.905 4.141
angles (deg): 90.00 90.00 90.00
Fractional positions:
1 Sr 0.178 0.322 0.000
2 Sr 0.322 0.822 0.000
3 Sr 0.678 0.178 0.000
4 Sr 0.822 0.678 0.000
5 Cd 0.000 0.500 0.500
6 Cd 0.051 0.812 0.500
7 Cd 0.188 0.051 0.500
8 Cd 0.312 0.551 0.500
9 Cd 0.449 0.312 0.500
10 Cd 0.500 0.000 0.500
11 Cd 0.551 0.688 0.500
12 Cd 0.688 0.449 0.500
13 Cd 0.812 0.949 0.500
14 Cd 0.949 0.188 0.500
15 Ag 0.123 0.623 0.000
16 Ag 0.377 0.123 0.000
17 Ag 0.623 0.877 0.000
18 Ag 0.877 0.377 0.000
19 Pd 0.000 0.000 0.000
20 Pd 0.500 0.500 0.000

=====

First-principles (PBE) data for an optimized crystal structure of Pm2GaSb, as listed in Alexandria.

- total energy (eV per atom) = -4.78
- energy relative to the elements, uncorrected (eV/atom) = -0.620

a b c (Å): 5.354 5.354 5.354
angles (deg): 60.00 60.00 60.00
Fractional positions:
1 Pm 0.250 0.250 0.250
2 Pm 0.750 0.750 0.750
3 Ga 0.000 0.000 0.000
4 Sb 0.500 0.500 0.500

=====

First-principles (PBE) data for an optimized crystal structure of Tm2Mn2AlRu5, as listed in Alexandria.

- total energy (eV per atom) = -7.91
- formation enthalpy at 0 K (eV per atom) = -0.17

a b c (Å): 9.911 9.911 3.258
angles (deg): 90.00 90.00 90.00
Fractional positions:
1 Tm 0.173 0.327 0.000
2 Tm 0.327 0.827 0.000
3 Tm 0.673 0.173 0.000
4 Tm 0.827 0.673 0.000
5 Mn 0.129 0.629 0.000
6 Mn 0.371 0.129 0.000
7 Mn 0.629 0.871 0.000
8 Mn 0.871 0.371 0.000
9 Al 0.000 0.000 0.000
10 Al 0.500 0.500 0.000
11 Ru 0.000 0.500 0.500
12 Ru 0.064 0.799 0.500
13 Ru 0.201 0.064 0.500
14 Ru 0.299 0.564 0.500
15 Ru 0.436 0.299 0.500
16 Ru 0.500 0.000 0.500
17 Ru 0.564 0.701 0.500
18 Ru 0.701 0.436 0.500
19 Ru 0.799 0.936 0.500
20 Ru 0.936 0.201 0.500

=====

First-principles (PBE) data for an optimized crystal structure of TmMg3Pb3, as listed in Alexandria.

- total energy (eV per atom) = -2.97
- formation enthalpy at 0 K (eV per atom) = -0.06

a b c (Å): 7.395 7.395 6.971
angles (deg): 90.04 90.04 92.43
Fractional positions:
1 Tm 0.200 0.200 0.000
2 Tm 0.800 0.800 0.000
3 Mg 0.146 0.854 0.500
4 Mg 0.245 0.755 0.000
5 Mg 0.256 0.256 0.500
6 Mg 0.744 0.744 0.500
7 Mg 0.755 0.245 0.000
8 Mg 0.854 0.146 0.500
9 Pb 0.000 0.500 0.259
10 Pb 0.000 0.500 0.741
11 Pb 0.500 0.000 0.259
12 Pb 0.500 0.000 0.741
13 Pb 0.500 0.500 0.243
14 Pb 0.500 0.500 0.757

=====

First-principles (PBE) data for an optimized crystal structure of Pr2CuO4, as listed in Alexandria.

- total energy (eV per atom) = -7.33
- energy relative to the elements, uncorrected (eV/atom) = -2.544

a b c (Å): 6.849 6.849 5.653
angles (deg): 90.00 90.00 48.71
Fractional positions:
1 Pr 0.150 0.150 0.000
2 Pr 0.350 0.350 0.500
3 Pr 0.650 0.650 0.500
4 Pr 0.850 0.850 0.000
5 Cu 0.000 0.000 0.500
6 Cu 0.500 0.500 0.000
7 O 0.000 0.500 0.250
8 O 0.000 0.500 0.750
9 O 0.249 0.751 0.751
10 O 0.251 0.749 0.251
11 O 0.500 0.000 0.250
12 O 0.500 0.000 0.750
13 O 0.749 0.251 0.749
14 O 0.751 0.249 0.249

=====

First-principles (PBE) data for an optimized crystal structure of Ce2Nd5Ru4, as listed in Alexandria.

- total energy (eV per atom) = -6.80
- formation enthalpy at 0 K (eV per atom) = -0.18

a b c (Å): 7.767 7.767 7.971
angles (deg): 109.32 109.32 39.66
Fractional positions:
1 Ce 0.244 0.244 0.174
2 Ce 0.756 0.756 0.826
3 Nd 0.000 0.000 0.000
4 Nd 0.097 0.097 0.698
5 Nd 0.395 0.395 0.685
6 Nd 0.605 0.605 0.315
7 Nd 0.903 0.903 0.302
8 Ru 0.176 0.176 0.414
9 Ru 0.371 0.371 0.062
10 Ru 0.629 0.629 0.938
11 Ru 0.824 0.824 0.586

=====

First-principles (PBE) data for an optimized crystal structure of CoPt2Se, as listed in Alexandria.

- total energy (eV per atom) = -5.52
- energy relative to the elements, uncorrected (eV/atom) = 0.150

a b c (Å): 2.792 2.792 7.965
angles (deg): 90.00 90.00 90.00
Fractional positions:
1 Co 0.000 0.000 0.000
2 Pt 0.500 0.500 0.220
3 Pt 0.500 0.500 0.780
4 Se 0.000 0.000 0.500